Entry 1:
A geometry-optimized Dy6Cu23 structure. Source: the Alexandria database, functional PBE.

Values from the calculation:
Size of the total moment, μB per formula unit: 0.00
Raw total energy, Ry per atom: -0.3234

a b c (Å): 8.602 8.602 8.602
angles (deg): 60.00 60.00 60.00
Fractional positions:
Dy: 0.215 0.215 0.785
Dy: 0.215 0.785 0.215
Dy: 0.215 0.785 0.785
Dy: 0.785 0.215 0.215
Dy: 0.785 0.215 0.785
Dy: 0.785 0.785 0.215
Cu: 0.000 0.000 0.500
Cu: 0.000 0.500 0.000
Cu: 0.000 0.500 0.500
Cu: 0.131 0.623 0.623
Cu: 0.173 0.173 0.173
Cu: 0.173 0.173 0.480
Cu: 0.173 0.480 0.173
Cu: 0.377 0.377 0.377
Cu: 0.377 0.377 0.869
Cu: 0.377 0.869 0.377
Cu: 0.480 0.173 0.173
Cu: 0.500 0.000 0.000
Cu: 0.500 0.000 0.500
Cu: 0.500 0.500 0.000
Cu: 0.500 0.500 0.500
Cu: 0.520 0.827 0.827
Cu: 0.623 0.131 0.623
Cu: 0.623 0.623 0.131
Cu: 0.623 0.623 0.623
Cu: 0.827 0.520 0.827
Cu: 0.827 0.827 0.520
Cu: 0.827 0.827 0.827
Cu: 0.869 0.377 0.377


Entry 2:
A geometry-optimized Dy2Cu17 structure. Source: the Alexandria database, functional PBE.

Values from the calculation:
Size of the total moment, μB per formula unit: 0.00
Raw total energy, Ry per atom: -0.3140

a b c (Å): 6.456 6.456 6.456
angles (deg): 82.74 82.74 82.74
Fractional positions:
Dy: 0.159 0.159 0.159
Dy: 0.841 0.841 0.841
Cu: 0.000 0.500 0.500
Cu: 0.154 0.154 0.654
Cu: 0.154 0.654 0.154
Cu: 0.204 0.500 0.796
Cu: 0.204 0.796 0.500
Cu: 0.346 0.846 0.846
Cu: 0.402 0.402 0.402
Cu: 0.500 0.000 0.500
Cu: 0.500 0.204 0.796
Cu: 0.500 0.500 0.000
Cu: 0.500 0.796 0.204
Cu: 0.598 0.598 0.598
Cu: 0.654 0.154 0.154
Cu: 0.796 0.204 0.500
Cu: 0.796 0.500 0.204
Cu: 0.846 0.346 0.846
Cu: 0.846 0.846 0.346